Version w
First-principles (PBE-GGA) data for an optimized crystal structure of DyHo7Sc3, as listed in the Alexandria database.

Its density of states at the Fermi level is 16.5 states/eV/f.u. The calculation puts the volume at 30.12 Å³ per atom.

The structure belongs to space group Immm (No. 71); the cell edges are 5.668, 10.584 and 11.046 Å and the angles 90.00°, 90.00° and 90.00°. Symmetry generates all atoms from Dy at (0.000, 0.000, 0.000), Ho at (0.000, 0.191, 0.295), Ho at (0.000, 0.304, 0.000), Ho at (0.000, 0.500, 0.500), Sc at (0.000, 0.000, 0.500) and Sc at (0.000, 0.500, 0.212).

Version x
First-principles (PBE-GGA) data for an optimized crystal structure of DyHo7Sc3, as listed in the Alexandria database.

Its density of states at the Fermi level is 18.3 states/eV/f.u. The calculation puts the volume at 29.77 Å³ per atom.

The structure belongs to space group C2/m (No. 12); the cell edges are 6.705, 17.917 and 10.905 Å and the angles 90.00°, 90.48° and 90.00°. Symmetry generates all atoms from Dy at (0.000, 0.000, 0.000), Dy at (0.000, 0.500, 0.500), Ho at (0.245, 0.000, 0.750), Ho at (0.246, 0.409, 0.750), Ho at (0.248, 0.338, 0.037), Ho at (0.249, 0.163, 0.537), Sc at (0.000, 0.000, 0.500), Sc at (0.000, 0.500, 0.000) and Sc at (0.001, 0.249, 0.250).

The winner here is version x, beating the second structure by 117 meV per atom.

Version w
First-principles (PBE-GGA) data for an optimized crystal structure of Dy3Ho4Sc, as listed in the Alexandria database.

Its density of states at the Fermi level is 13.4 states/eV/f.u. The calculation puts the volume at 30.71 Å³ per atom.

The structure belongs to space group Pmn2_1 (No. 31); the cell edges are 11.085, 7.163 and 6.187 Å and the angles 90.00°, 90.00° and 90.00°. Symmetry generates all atoms from Dy at (0.000, 0.124, 0.000), Dy at (0.250, 0.123, 0.331), Ho at (0.000, 0.374, 0.504), Ho at (0.000, 0.626, 0.998), Ho at (0.246, 0.627, 0.336) and Sc at (0.000, 0.876, 0.499).

Version x
First-principles (PBE-GGA) data for an optimized crystal structure of Dy3Ho4Sc, as listed in the Alexandria database.

Its density of states at the Fermi level is 11.3 states/eV/f.u. The calculation puts the volume at 30.11 Å³ per atom.

The structure belongs to space group I4/mcm (No. 140); the cell edges are 8.722, 8.722 and 12.665 Å and the angles 90.00°, 90.00° and 90.00°. Symmetry generates all atoms from Dy at (0.000, 0.000, 0.250), Dy at (0.147, 0.353, 0.000), Ho at (0.151, 0.349, 0.338) and Sc at (0.000, 0.000, 0.000).

The winner here is version w, beating the second structure by 78 meV per atom.

Version w
First-principles (PBE-GGA) data for an optimized crystal structure of Dy2Ho8Sc3, as listed in the Alexandria database.

Its density of states at the Fermi level is 20.1 states/eV/f.u. The calculation puts the volume at 31.37 Å³ per atom.

The structure belongs to space group C2/m (No. 12); the cell edges are 14.527, 8.697 and 6.528 Å and the angles 90.00°, 98.50° and 90.00°. Symmetry generates all atoms from Dy at (0.201, 0.000, 0.285), Ho at (0.087, 0.500, 0.885), Ho at (0.110, 0.317, 0.427), Ho at (0.194, 0.000, 0.791), Sc at (0.000, 0.000, 0.500) and Sc at (0.000, 0.164, 0.000).

Version x
First-principles (PBE-GGA) data for an optimized crystal structure of Dy2Ho8Sc3, as listed in the Alexandria database.

Its density of states at the Fermi level is 20.1 states/eV/f.u. The calculation puts the volume at 29.47 Å³ per atom.

The structure belongs to space group P-1 (No. 2); the cell edges are 6.006, 6.015 and 10.941 Å and the angles 90.03°, 100.49° and 99.53°. Symmetry generates all atoms from Dy at (0.115, 0.269, 0.461), Ho at (0.041, 0.419, 0.148), Ho at (0.194, 0.119, 0.778), Ho at (0.346, 0.808, 0.380), Ho at (0.424, 0.658, 0.699), Sc at (0.273, 0.961, 0.074) and Sc at (0.500, 0.500, 0.000).

The winner here is version x, beating the second structure by 217 meV per atom.